A | A plane-wave DFT calculation with PBE was carried out for an optimized crystal structure of ZrNpS4.

The structure in POSCAR format:
```
ZrNpS4
1.0
-0.200 3.843 -0.016
-6.622 -0.344 -0.008
2.015 0.159 13.140
Zr Np S
2 2 8
Direct
0.500 0.000 0.500
0.000 0.000 0.000
0.000 0.500 0.500
0.500 0.500 0.000
0.500 0.644 0.392
0.000 0.356 0.108
0.500 0.356 0.608
0.000 0.644 0.892
0.000 0.126 0.393
0.500 0.874 0.107
0.000 0.874 0.607
0.500 0.126 0.893
```

Summary:
**Space-group type**: C2/m (12)
**Total magnetic moment**: 6.0 μB/cell
**N(E_F)**: 7.9 states/eV/f.u.

---

B | A plane-wave DFT calculation with PBE was carried out for an optimized crystal structure of ZrNpS4.

The structure in POSCAR format:
```
ZrNpS4
1.0
3.933 0.000 0.000
0.000 6.213 0.077
0.000 -0.045 6.213
Zr Np S
1 1 4
Direct
0.500 0.000 0.000
0.000 0.500 0.500
0.000 0.190 0.190
0.000 0.810 0.810
0.500 0.703 0.297
0.500 0.297 0.703
```

Summary:
**Space-group type**: Cmmm (65)
**Total magnetic moment**: 3.0 μB/cell
**N(E_F)**: 7.7 states/eV/f.u.

---

Which structure loses on stability? B does.

---

A | A plane-wave DFT calculation with PBE was carried out for an optimized crystal structure of ZrNp2S6.

The structure in POSCAR format:
```
ZrNp2S6
1.0
-0.919 4.938 0.520
-5.072 1.121 4.911
3.174 2.538 6.027
Zr Np S
1 2 6
Direct
0.000 0.500 0.500
0.185 0.744 0.886
0.815 0.256 0.114
0.758 0.632 0.851
0.242 0.368 0.149
0.956 0.850 0.238
0.385 0.705 0.525
0.044 0.150 0.762
0.615 0.295 0.475
```

Summary:
**Space-group type**: C2/m (12)
**Total magnetic moment**: 6.0 μB/cell
**N(E_F)**: 19.1 states/eV/f.u.

---

B | A plane-wave DFT calculation with PBE was carried out for an optimized crystal structure of ZrNp2S6.

The structure in POSCAR format:
```
ZrNp2S6
1.0
3.806 0.000 -0.872
-0.443 7.731 -1.934
0.020 -0.076 8.828
Zr Np S
1 2 6
Direct
0.500 0.000 0.000
0.836 0.674 0.672
0.164 0.326 0.328
0.346 0.907 0.691
0.004 0.220 0.008
0.676 0.558 0.351
0.996 0.780 0.992
0.654 0.093 0.309
0.324 0.442 0.649
```

Summary:
**Space-group type**: C2/m (12)
**Total magnetic moment**: 6.0 μB/cell
**N(E_F)**: 15.7 states/eV/f.u.

---

Which structure loses on stability? A does.

---

A | A plane-wave DFT calculation with PBE was carried out for an optimized crystal structure of Np3Sb.

The structure in POSCAR format:
```
Np3Sb
1.0
-3.079 -3.818 0.895
-0.109 -3.896 -3.109
1.842 -4.400 1.451
Np Sb
3 1
Direct
0.000 0.000 0.000
0.750 0.750 0.750
0.250 0.250 0.250
0.500 0.500 0.500
```

Summary:
**Space-group type**: Fm-3m (225)
**Total magnetic moment**: 3.1 μB/cell
**N(E_F)**: 14.9 states/eV/f.u.

---

B | A plane-wave DFT calculation with PBE was carried out for an optimized crystal structure of Np3Sb.

The structure in POSCAR format:
```
Np3Sb
1.0
-4.454 0.541 -0.035
-0.179 -1.744 -4.130
1.778 -3.719 3.931
Np Sb
3 1
Direct
0.750 0.250 0.500
0.250 0.750 0.500
0.500 0.500 0.000
0.000 0.000 0.000
```

Summary:
**Space-group type**: I4/mmm (139)
**Total magnetic moment**: 12.2 μB/cell
**N(E_F)**: 13.2 states/eV/f.u.

---

Which structure loses on stability? A does.

---

A | A plane-wave DFT calculation with PBE was carried out for an optimized crystal structure of Np2SbSe.

The structure in POSCAR format:
```
Np2SbSe
1.0
-0.761 0.148 5.102
-0.402 -4.393 2.677
3.779 -1.418 3.214
Np Sb Se
2 1 1
Direct
0.250 0.250 0.250
0.750 0.750 0.750
0.000 0.000 0.000
0.500 0.500 0.500
```

Summary:
**Space-group type**: Fm-3m (225)
**Total magnetic moment**: 8.9 μB/cell
**N(E_F)**: 12.4 states/eV/f.u.

---

B | A plane-wave DFT calculation with PBE was carried out for an optimized crystal structure of Np2SbSe.

The structure in POSCAR format:
```
Np2SbSe
1.0
3.558 0.000 0.000
0.000 3.558 0.000
0.000 0.000 7.598
Np Sb Se
2 1 1
Direct
0.000 0.000 0.766
0.000 0.000 0.234
0.500 0.500 0.500
0.500 0.500 0.000
```

Summary:
**Space-group type**: P4/mmm (123)
**Total magnetic moment**: 9.4 μB/cell
**N(E_F)**: 12.3 states/eV/f.u.

---

C | A plane-wave DFT calculation with PBE was carried out for an optimized crystal structure of Np2SbSe.

The structure in POSCAR format:
```
Np2SbSe
1.0
4.280 0.000 0.000
2.140 3.706 0.000
2.140 1.235 6.864
Np Sb Se
2 1 1
Direct
0.743 0.743 0.770
0.257 0.257 0.230
0.500 0.500 0.500
0.000 0.000 0.000
```

Summary:
**Space-group type**: R-3m (166)
**Total magnetic moment**: 8.5 μB/cell
**N(E_F)**: 18.2 states/eV/f.u.

---

Which structure loses on stability? A does.